BaCa2Cl: relaxed, PBE-GGA.

a = 6.229 Å, b = 6.229 Å, c = 6.229 Å
α = 60.00°, β = 60.00°, γ = 60.00°
Fractional positions:
Cl  0.750  0.750  0.750
Ca  0.000  0.000  0.000
Ca  0.250  0.250  0.250
Ba  0.500  0.500  0.500

D(E_F): 4.26 states/eV per cell
Formation energy (no corrections): -1.2 eV/f.u.
Distance to the lowest polymorph of the same formula: 466 meV/atom
DFT total energy: -2.2427 eV/atom
Symmetry: F-43m